DFT (meta-GGA SCAN) results for BiSbTe2 at its PBEsol-relaxed geometry.

- Calculated density: 7976 kg/m³
- SG: I-42d (122)
- Crystal system: tetragonal
- E_form (uncorrected): 0.088 eV per atom
- ΔE to the lowest computed polymorph: 0.66 eV/f.u.

Unit cell a=6.435 b=6.947 c=6.947 alpha=77.61 beta=62.41 gamma=62.41
Atoms (fractional coordinates):
Te 0.375 0.495 0.005
Sb 0.250 0.500 0.500
Te 0.130 0.995 0.495
Te 0.875 0.505 0.995
Bi 0.750 0.500 0.500
Sb 0.500 0.000 0.000
Bi 0.000 0.000 0.000
Te 0.620 0.005 0.505


DFT (meta-GGA SCAN) results for BiSbTe2 at its PBEsol-relaxed geometry.

- Calculated density: 7390 kg/m³
- SG: P3m1 (156)
- Crystal system: trigonal
- E_form (uncorrected): -0.078 eV per atom
- ΔE to the lowest computed polymorph: 0.00 eV/f.u.

Unit cell a=4.293 b=4.293 c=24.745 alpha=90.00 beta=90.00 gamma=120.00
Atoms (fractional coordinates):
Te 0.000 0.000 0.210
Sb 0.667 0.333 0.290
Te 0.333 0.667 0.359
Te 0.333 0.667 0.054
Te 0.333 0.667 0.790
Bi 0.667 0.333 0.126
Sb 0.000 0.000 0.465
Sb 0.667 0.333 0.710
Te 0.000 0.000 0.947
Te 0.000 0.000 0.641
Bi 0.667 0.333 0.876
Bi 0.333 0.667 0.532


DFT (meta-GGA SCAN) results for BiSbTe2 at its PBEsol-relaxed geometry.

- Calculated density: 7155 kg/m³
- SG: R-3m (166)
- Crystal system: trigonal
- E_form (uncorrected): 0.145 eV per atom
- ΔE to the lowest computed polymorph: 0.89 eV/f.u.

Unit cell a=3.974 b=3.974 c=10.202 alpha=78.77 beta=78.77 gamma=60.00
Atoms (fractional coordinates):
Sb 0.500 0.500 0.500
Te 0.102 0.102 0.695
Te 0.898 0.898 0.305
Bi 0.000 0.000 0.000


DFT (meta-GGA SCAN) results for TiBiSbTe2 at its PBEsol-relaxed geometry.

- Calculated density: 7276 kg/m³
- SG: P4/mmm (123)
- Crystal system: tetragonal
- E_form (uncorrected): 0.143 eV per atom

Unit cell a=5.208 b=5.208 c=5.333 alpha=90.00 beta=90.00 gamma=90.00
Atoms (fractional coordinates):
Ti 0.000 0.000 0.000
Te 0.500 0.000 0.000
Sb 0.000 0.000 0.500
Te 0.000 0.500 0.000
Bi 0.500 0.500 0.500


DFT (meta-GGA SCAN) results for ZnBiSbTe2 at its PBEsol-relaxed geometry.

- Calculated density: 5477 kg/m³
- SG: P4/mmm (123)
- Crystal system: tetragonal
- E_form (uncorrected): 0.874 eV per atom

Unit cell a=5.852 b=5.809 c=5.809 alpha=90.00 beta=90.00 gamma=90.00
Each line ends with the local moment (μB).
Atoms (fractional coordinates):
Te 0.000 0.500 0.000  0.03
Te 0.000 0.000 0.500  0.03
Bi 0.000 0.000 0.000  0.00
Zn 0.500 0.500 0.500  -0.02
Sb 0.500 0.000 0.000  0.30


DFT (meta-GGA SCAN) results for TiBi3Sb at its PBEsol-relaxed geometry.

- Calculated density: 8722 kg/m³
- SG: Pm-3m (221)
- Crystal system: cubic
- E_form (uncorrected): 0.408 eV per atom

Unit cell a=5.333 b=5.333 c=5.333 alpha=90.00 beta=90.00 gamma=90.00
Atoms (fractional coordinates):
Bi 0.500 0.000 0.000
Bi 0.000 0.000 0.500
Bi 0.000 0.500 0.000
Ti 0.000 0.000 0.000
Sb 0.500 0.500 0.500